No. 1
# GGA-PBE SmTaCrC3, relaxed
data_SmTaCrC3
_chemical_formula_sum 'Sm2 Ta2 Cr2 C6'
_space_group_name_H-M_alt 'P 1 21/m 1'
_space_group_IT_number 11
_cell_length_a 7.006
_cell_length_b 3.355
_cell_length_c 7.452
_cell_angle_alpha 90.00
_cell_angle_beta 103.22
_cell_angle_gamma 90.00
loop_
_space_group_symop_operation_xyz
'x,y,z'
'-x,-y,-z'
'-x,y+1/2,-z'
'x,-y+1/2,z'
loop_
_atom_site_label
_atom_site_fract_x
_atom_site_fract_y
_atom_site_fract_z
Sm1 0.185 0.250 0.199
Ta1 0.355 0.750 0.858
Cr1 0.099 0.250 0.606
C1 0.123 0.250 0.853
C2 0.178 0.750 0.529
C3 0.441 0.750 0.151
# calculated density: 8.17 g cm⁻³
# E_form: -52 kJ/mol of formula units

***

No. 2
# GGA-PBE SmTa2CrC4, relaxed
data_SmTa2CrC4
_chemical_formula_sum 'Sm4 Ta8 Cr4 C16'
_space_group_name_H-M_alt 'C m c m'
_space_group_IT_number 63
_space_group_name_Hall '-C 2c 2'
_cell_length_a 3.228
_cell_length_b 11.228
_cell_length_c 10.993
_cell_angle_alpha 90.00
_cell_angle_beta 90.00
_cell_angle_gamma 90.00
loop_
_atom_site_label
_atom_site_fract_x
_atom_site_fract_y
_atom_site_fract_z
Sm1 0.000 0.099 0.250
Ta1 0.000 0.371 0.042
Cr1 0.000 0.167 0.750
C1 0.000 0.000 0.000
C2 0.000 0.263 0.615
C3 0.000 0.425 0.250
# calculated density: 10.21 g cm⁻³
# E_form: -263 kJ/mol of formula units

***

No. 3
# GGA-PBE Tb2SmCr2C4, relaxed
data_Tb2SmCr2C4
_chemical_formula_sum 'Tb4 Sm2 Cr4 C8'
_space_group_name_H-M_alt 'C 1 2/m 1'
_space_group_IT_number 12
_cell_length_a 13.402
_cell_length_b 3.459
_cell_length_c 5.944
_cell_angle_alpha 90.00
_cell_angle_beta 109.26
_cell_angle_gamma 90.00
loop_
_space_group_symop_operation_xyz
'x,y,z'
'-x,-y,-z'
'-x,y,-z'
'x,-y,z'
'x+1/2,y+1/2,z'
'-x+1/2,-y+1/2,-z'
'-x+1/2,y+1/2,-z'
'x+1/2,-y+1/2,z'
loop_
_atom_site_label
_atom_site_fract_x
_atom_site_fract_y
_atom_site_fract_z
Tb1 0.136 0.000 0.047
Sm1 0.000 0.000 0.500
Cr1 0.181 0.500 0.495
C1 0.053 0.500 0.254
C2 0.216 0.000 0.681
# calculated density: 7.92 g cm⁻³
# E_form: -51 kJ/mol of formula units

***

No. 4
# GGA-PBE SmTm2Cr2C4, relaxed
data_SmTm2Cr2C4
_chemical_formula_sum 'Sm2 Tm4 Cr4 C8'
_space_group_name_H-M_alt 'C 1 2/m 1'
_space_group_IT_number 12
_cell_length_a 13.135
_cell_length_b 3.388
_cell_length_c 5.986
_cell_angle_alpha 90.00
_cell_angle_beta 112.57
_cell_angle_gamma 90.00
loop_
_space_group_symop_operation_xyz
'x,y,z'
'-x,-y,-z'
'-x,y,-z'
'x,-y,z'
'x+1/2,y+1/2,z'
'-x+1/2,-y+1/2,-z'
'-x+1/2,y+1/2,-z'
'x+1/2,-y+1/2,z'
loop_
_atom_site_label
_atom_site_fract_x
_atom_site_fract_y
_atom_site_fract_z
Sm1 0.000 0.000 0.000
Tm1 0.135 0.000 0.545
Cr1 0.178 0.500 0.978
C1 0.037 0.500 0.726
C2 0.219 0.000 0.191
# calculated density: 8.65 g cm⁻³
# E_form: -48 kJ/mol of formula units

***

No. 5
# GGA-PBE Sm2TmCr2C4, relaxed
data_Sm2TmCr2C4
_chemical_formula_sum 'Sm4 Tm2 Cr4 C8'
_space_group_name_H-M_alt 'C 1 2/m 1'
_space_group_IT_number 12
_cell_length_a 13.136
_cell_length_b 3.440
_cell_length_c 6.017
_cell_angle_alpha 90.00
_cell_angle_beta 109.12
_cell_angle_gamma 90.00
loop_
_space_group_symop_operation_xyz
'x,y,z'
'-x,-y,-z'
'-x,y,-z'
'x,-y,z'
'x+1/2,y+1/2,z'
'-x+1/2,-y+1/2,-z'
'-x+1/2,y+1/2,-z'
'x+1/2,-y+1/2,z'
loop_
_atom_site_label
_atom_site_fract_x
_atom_site_fract_y
_atom_site_fract_z
Sm1 0.133 0.000 0.040
Tm1 0.000 0.000 0.500
Cr1 0.180 0.500 0.497
C1 0.048 0.500 0.267
C2 0.214 0.000 0.677
# calculated density: 8.04 g cm⁻³
# E_form: -118 kJ/mol of formula units

***

No. 6
# GGA-PBE SmU2CrC4, relaxed
data_SmU2CrC4
_chemical_formula_sum 'Sm4 U8 Cr4 C16'
_space_group_name_H-M_alt 'C m c m'
_space_group_IT_number 63
_space_group_name_Hall '-C 2c 2'
_cell_length_a 3.581
_cell_length_b 11.262
_cell_length_c 11.674
_cell_angle_alpha 90.00
_cell_angle_beta 90.00
_cell_angle_gamma 90.00
loop_
_atom_site_label
_atom_site_fract_x
_atom_site_fract_y
_atom_site_fract_z
Sm1 0.000 0.113 0.250
U1 0.000 0.371 0.048
Cr1 0.000 0.152 0.750
C1 0.000 0.000 0.000
C2 0.000 0.256 0.622
C3 0.000 0.421 0.250
# calculated density: 10.25 g cm⁻³
# E_form: -52 kJ/mol of formula units

***

No. 7
# GGA-PBE SmY2Cr2C4, relaxed
data_SmY2Cr2C4
_chemical_formula_sum 'Sm2 Y4 Cr4 C8'
_space_group_name_H-M_alt 'C 1 2/m 1'
_space_group_IT_number 12
_cell_length_a 15.904
_cell_length_b 3.457
_cell_length_c 5.398
_cell_angle_alpha 90.00
_cell_angle_beta 96.47
_cell_angle_gamma 90.00
loop_
_space_group_symop_operation_xyz
'x,y,z'
'-x,-y,-z'
'-x,y,-z'
'x,-y,z'
'x+1/2,y+1/2,z'
'-x+1/2,-y+1/2,-z'
'-x+1/2,y+1/2,-z'
'x+1/2,-y+1/2,z'
loop_
_atom_site_label
_atom_site_fract_x
_atom_site_fract_y
_atom_site_fract_z
Sm1 0.000 0.000 0.000
Y1 0.158 0.000 0.578
Cr1 0.190 0.500 0.051
C1 0.094 0.500 0.847
C2 0.228 0.000 0.201
# calculated density: 5.41 g cm⁻³
# E_form: -77 kJ/mol of formula units

***

No. 8
# GGA-PBE Cr2SnC, relaxed
data_Cr2SnC
_chemical_formula_sum 'Cr6 Sn3 C3'
_space_group_name_H-M_alt 'R -3 m'
_space_group_IT_number 166
_space_group_name_Hall '-R 3 2"'
_cell_length_a 3.0489
_cell_length_b 3.0489
_cell_length_c 19.2888
_cell_angle_alpha 90.00
_cell_angle_beta 90.00
_cell_angle_gamma 120.00
loop_
_atom_site_label
_atom_site_fract_x
_atom_site_fract_y
_atom_site_fract_z
Cr1 0.0000 0.0000 0.2159
Sn1 0.0000 0.0000 0.0000
C1 0.0000 0.0000 0.5000
# calculated density: 7.53 g cm⁻³
# E_form: 15 kJ/mol of formula units